# CaDy2HoAs4

CaDy2HoAs4 after structural relaxation (PBE, Alexandria via LeMat-Bulk).

**Energy**: -45.3 eV/f.u.
**Total moment**: 0.0 Bohr magnetons per cell
**Crystal system**: monoclinic

```
data_CaDy2HoAs4
_chemical_formula_sum 'Ca1 Dy2 Ho1 As4'
_symmetry_space_group_name_H-M 'P 1 2/m 1'
_symmetry_Int_Tables_number 10
_cell_length_a 7.184
_cell_length_b 4.129
_cell_length_c 7.190
_cell_angle_alpha 90.00
_cell_angle_beta 109.31
_cell_angle_gamma 90.00
loop_
_symmetry_equiv_pos_as_xyz
'x,y,z'
'-x,-y,-z'
'-x,y,-z'
'x,-y,z'
loop_
_atom_site_label
_atom_site_type_symbol
_atom_site_fract_x
_atom_site_fract_y
_atom_site_fract_z
Ca1 Ca 0.000 0.000 0.000
Dy1 Dy 0.500 0.000 0.500
Dy2 Dy 0.500 0.500 0.000
Ho1 Ho 0.000 0.500 0.500
As1 As 0.252 0.000 0.746
As2 As 0.256 0.500 0.257
```